1.
Entry from the Alexandria database: a geometry-optimized Ag2PtCl4 structure (PBE-GGA).

POSCAR file:
```
Ag2PtCl4
1.0
-4.907 4.540 -1.217
-3.037 -4.405 -4.188
2.084 -1.373 5.445
Ag Pt Cl
2 1 4
Direct
0.750 0.250 0.500
0.250 0.750 0.500
0.500 0.500 0.000
0.739 0.259 0.998
0.259 0.739 0.998
0.741 0.741 0.002
0.261 0.261 0.002
```

Results
The crystal system is tetragonal. As for the space group: I-42m (121). The formation energy without anion corrections is -33 kJ/mol of atoms.


2.
Entry from the Alexandria database: a geometry-optimized MgPaMnZn structure (PBE-GGA).

POSCAR file:
```
MgPaMnZn
1.0
-2.846 -2.149 -3.126
0.523 -4.628 -0.892
-3.269 -3.089 1.503
Zn Pa Mg Mn
1 1 1 1
Direct
0.000 0.000 0.000
0.750 0.750 0.750
0.250 0.250 0.250
0.500 0.500 0.500
```

Results
The crystal system is cubic. As for the space group: F-43m (216). For the density of states at the Fermi level, the calculation gives 5.38 states/eV/cell.


3.
Entry from the Alexandria database: a geometry-optimized OsIN2 structure (PBE-GGA).

POSCAR file:
```
OsIN2
1.0
1.862 0.000 6.564
-0.931 1.613 6.564
-0.931 -1.613 6.564
I Os N
1 1 2
Direct
0.000 0.000 0.000
0.500 0.500 0.500
0.882 0.882 0.882
0.118 0.118 0.118
```

Results
The crystal system is trigonal. As for the space group: R-3m (166). The formation energy without anion corrections is 101 kJ/mol of atoms. For the density of states at the Fermi level, the calculation gives 4.36 states/eV/cell.


4.
Entry from the Alexandria database: a geometry-optimized AgC2 structure (PBE-GGA).

POSCAR file:
```
AgC2
1.0
-2.311 2.608 1.464
-1.995 -2.723 1.701
3.837 0.460 5.237
Ag C
2 4
Direct
0.500 0.500 0.000
0.000 0.000 0.500
0.882 0.882 0.000
0.118 0.118 0.000
0.618 0.382 0.500
0.382 0.618 0.500
```

Results
The crystal system is tetragonal. As for the space group: P4_2/mnm (136). For the density of states at the Fermi level, the calculation gives 3.21 states/eV/cell.


| no. | electronic total energy (eV/atom) |
| --- | --- |
| 1 | -3.07 |
| 2 | -5.18 |
| 3 | -6.31 |
| 4 | -5.57 |